Entry 1:
This record from Alexandria describes an optimized crystal structure of Na3MgSn4. The functional is PBE.

- energy of formation (eV per atom) = -0.13
- N(E_F) (states/eV per cell) = 3.2

Lattice parameters (Å, degrees): 3.223 6.461 20.559 90.00 90.00 90.00
Space group Immm (No. 71)
Asymmetric unit:
Na: 0.000 0.000 0.000 x2
Na: 0.000 0.500 0.239 x4
Mg: 0.000 0.000 0.500 x2
Sn: 0.000 0.256 0.378 x8


Entry 2:
This record from Alexandria describes an optimized crystal structure of NaMgSn. The functional is PBE.

- energy above the lowest structure with this stoichiometry (eV per atom) = 0.000
- energy of formation (eV per atom) = -0.18
- N(E_F) (states/eV per cell) = 2.6

Lattice parameters (Å, degrees): 4.453 4.453 8.363 90.00 90.00 90.00
Space group P4/nmm (No. 129, origin choice 2)
Asymmetric unit:
Na: 0.250 0.250 0.134 x2
Mg: 0.250 0.750 0.500 x2
Sn: 0.250 0.250 0.741 x2


Entry 3:
This record from Alexandria describes an optimized crystal structure of NaMg3Sn4. The functional is PBE.

- energy of formation (eV per atom) = -0.14
- N(E_F) (states/eV per cell) = 5.5

Lattice parameters (Å, degrees): 18.086 4.720 4.723 90.00 104.63 90.00
Space group C2/m (No. 12)
Asymmetric unit:
Na: 0.000 0.000 0.000 x2
Mg: 0.000 0.500 0.500 x2
Mg: 0.249 0.000 0.247 x4
Sn: 0.129 0.000 0.626 x4
Sn: 0.129 0.500 0.130 x4


Entry 4:
This record from Alexandria describes an optimized crystal structure of Na4MgSn. The functional is PBE.

- energy of formation (eV per atom) = -0.06
- N(E_F) (states/eV per cell) = 8.3

Lattice parameters (Å, degrees): 6.348 18.860 5.532 90.00 90.00 90.00
Space group Cmcm (No. 63)
Asymmetric unit:
Na: 0.240 0.042 0.250 x8
Na: 0.247 0.208 0.250 x8
Mg: 0.000 0.381 0.250 x4
Sn: 0.000 0.129 0.750 x4


Entry 5:
This record from Alexandria describes an optimized crystal structure of NaMgSn. The functional is PBE.

- energy above the lowest structure with this stoichiometry (eV per atom) = 0.027
- energy of formation (eV per atom) = -0.15
- N(E_F) (states/eV per cell) = 0.8

Lattice parameters (Å, degrees): 3.511 4.885 8.803 90.00 90.03 90.00
Space group P2_1/m (No. 11)
Asymmetric unit:
Na: 0.250 0.250 0.049 x2
Mg: 0.247 0.750 0.606 x2
Sn: 0.250 0.750 0.274 x2


Entry 6:
This record from Alexandria describes an optimized crystal structure of NaMgSn. The functional is PBE.

- energy above the lowest structure with this stoichiometry (eV per atom) = 0.130
- energy of formation (eV per atom) = -0.05
- N(E_F) (states/eV per cell) = 9.4

Lattice parameters (Å, degrees): 7.082 7.082 7.082 90.00 90.00 90.00
Space group F-43m (No. 216)
Asymmetric unit:
Na: 0.000 0.000 0.000 x4
Mg: 0.000 0.000 0.500 x4
Sn: 0.250 0.250 0.250 x4


Entry 7:
This record from Alexandria describes an optimized crystal structure of Na2MgSn2. The functional is PBE.

- energy above the lowest structure with this stoichiometry (eV per atom) = 0.000
- energy of formation (eV per atom) = -0.16
- N(E_F) (states/eV per cell) = 6.4

Lattice parameters (Å, degrees): 11.032 5.137 10.440 90.00 109.60 90.00
Space group C2/m (No. 12)
Asymmetric unit:
Na: 0.027 0.000 0.335 x4
Na: 0.167 0.000 0.067 x4
Mg: 0.226 0.500 0.366 x4
Sn: 0.015 0.500 0.863 x4
Sn: 0.129 0.500 0.612 x4


Entry 8:
This record from Alexandria describes an optimized crystal structure of NaMg5Sn3. The functional is PBE.

- energy of formation (eV per atom) = -0.14
- N(E_F) (states/eV per cell) = 5.5

Lattice parameters (Å, degrees): 8.7453 8.7453 6.4629 90.00 90.00 120.00
Space group P6_3/mcm (No. 193)
Asymmetric unit:
Na: 0.0000 0.0000 0.0000 x2
Mg: 0.0000 0.3339 0.2500 x6
Mg: 0.3333 0.6667 0.0000 x4
Sn: 0.0000 0.3377 0.7500 x6


Entry 9:
This record from Alexandria describes an optimized crystal structure of Na2Mg3Sn5. The functional is PBE.

- energy of formation (eV per atom) = -0.12
- N(E_F) (states/eV per cell) = 12.3

Lattice parameters (Å, degrees): 12.743 13.267 6.832 90.00 90.00 90.00
Space group Ibam (No. 72)
Asymmetric unit:
Na: 0.247 0.128 0.000 x8
Mg: 0.000 0.500 0.250 x4
Mg: 0.135 0.126 0.500 x8
Sn: 0.000 0.000 0.250 x4
Sn: 0.000 0.257 0.250 x8
Sn: 0.145 0.385 0.000 x8


Entry 10:
This record from Alexandria describes an optimized crystal structure of NaMg5Sn6. The functional is PBE.

- energy above the lowest structure with this stoichiometry (eV per atom) = 0.000
- energy of formation (eV per atom) = -0.13
- N(E_F) (states/eV per cell) = 8.2

Lattice parameters (Å, degrees): 9.801 14.189 4.756 90.00 118.17 90.00
Space group C2/m (No. 12)
Asymmetric unit:
Na: 0.000 0.000 0.000 x2
Mg: 0.000 0.167 0.500 x4
Mg: 0.000 0.332 0.000 x4
Mg: 0.000 0.500 0.500 x2
Sn: 0.243 0.500 0.243 x4
Sn: 0.246 0.332 0.747 x8


Entry 11:
This record from Alexandria describes an optimized crystal structure of NaMgSn. The functional is PBE.

- energy above the lowest structure with this stoichiometry (eV per atom) = 0.044
- energy of formation (eV per atom) = -0.13
- N(E_F) (states/eV per cell) = 1.4

Lattice parameters (Å, degrees): 5.0255 5.0255 3.6660 90.00 90.00 120.00
Space group P-6m2 (No. 187)
Asymmetric unit:
Na: 0.0000 0.0000 0.0000 x1
Mg: 0.3333 0.6667 0.5000 x1
Sn: 0.6667 0.3333 0.5000 x1


Entry 12:
This record from Alexandria describes an optimized crystal structure of NaMg2Sn. The functional is PBE.

- energy of formation (eV per atom) = -0.09
- N(E_F) (states/eV per cell) = 1.4

Lattice parameters (Å, degrees): 4.635 4.635 4.499 90.00 90.00 90.00
Space group P4/mmm (No. 123)
Asymmetric unit:
Na: 0.000 0.000 0.000 x1
Mg: 0.000 0.500 0.500 x2
Sn: 0.500 0.500 0.000 x1


Entry 13:
This record from Alexandria describes an optimized crystal structure of Na2MgSn2. The functional is PBE.

- energy above the lowest structure with this stoichiometry (eV per atom) = 0.183
- energy of formation (eV per atom) = 0.02
- N(E_F) (states/eV per cell) = 4.1

Lattice parameters (Å, degrees): 9.083 9.083 3.263 90.00 90.00 90.00
Space group P4/mbm (No. 127)
Asymmetric unit:
Na: 0.114 0.386 0.000 x4
Mg: 0.000 0.000 0.000 x2
Sn: 0.186 0.686 0.500 x4


Entry 14:
This record from Alexandria describes an optimized crystal structure of NaMg4Sn. The functional is PBE.

- energy of formation (eV per atom) = 0.03
- N(E_F) (states/eV per cell) = 14.1

Lattice parameters (Å, degrees): 8.489 8.489 8.489 90.00 90.00 90.00
Space group F-43m (No. 216)
Asymmetric unit:
Na: 0.000 0.000 0.000 x4
Mg: 0.125 0.125 0.375 x16
Sn: 0.250 0.250 0.750 x4


Entry 15:
This record from Alexandria describes an optimized crystal structure of NaMg4Sn5. The functional is PBE.

- energy of formation (eV per atom) = -0.12
- N(E_F) (states/eV per cell) = 4.2

Lattice parameters (Å, degrees): 3.717 3.717 18.043 90.00 90.00 90.00
Space group P4/mmm (No. 123)
Asymmetric unit:
Na: 0.000 0.000 0.000 x1
Mg: 0.000 0.000 0.211 x2
Mg: 0.000 0.000 0.402 x2
Sn: 0.500 0.500 0.119 x2
Sn: 0.500 0.500 0.306 x2
Sn: 0.500 0.500 0.500 x1


Entry 16:
This record from Alexandria describes an optimized crystal structure of Na12MgSn7. The functional is PBE.

- energy of formation (eV per atom) = -0.10
- N(E_F) (states/eV per cell) = 26.9

Lattice parameters (Å, degrees): 18.7004 18.7004 6.3494 90.00 90.00 120.00
Space group R-3 (No. 148, hexagonal axes)
Asymmetric unit:
Na: 0.0240 0.4266 0.0827 x18
Na: 0.0761 0.8720 0.8689 x18
Mg: 0.0000 0.0000 0.5000 x3
Sn: 0.0000 0.0000 0.0000 x3
Sn: 0.0496 0.8797 0.3683 x18


Entry 17:
This record from Alexandria describes an optimized crystal structure of NaMg3Sn3. The functional is PBE.

- energy of formation (eV per atom) = 0.27
- N(E_F) (states/eV per cell) = 9.8

Lattice parameters (Å, degrees): 8.011 8.011 8.011 90.00 90.00 90.00
Space group Pm-3n (No. 223)
Asymmetric unit:
Na: 0.000 0.000 0.000 x2
Mg: 0.000 0.250 0.500 x6
Sn: 0.000 0.500 0.250 x6


Entry 18:
This record from Alexandria describes an optimized crystal structure of Na5Mg2Sn4. The functional is PBE.

- energy of formation (eV per atom) = -0.07
- N(E_F) (states/eV per cell) = 9.8

Lattice parameters (Å, degrees): 4.016 8.148 20.603 90.00 90.00 90.00
Space group Immm (No. 71)
Asymmetric unit:
Na: 0.000 0.000 0.000 x2
Na: 0.000 0.272 0.344 x8
Mg: 0.000 0.500 0.080 x4
Sn: 0.000 0.191 0.500 x4
Sn: 0.000 0.500 0.224 x4


Entry 19:
This record from Alexandria describes an optimized crystal structure of Na2MgSn3. The functional is PBE.

- energy above the lowest structure with this stoichiometry (eV per atom) = 0.000
- energy of formation (eV per atom) = -0.15
- N(E_F) (states/eV per cell) = 9.7

Lattice parameters (Å, degrees): 8.491 9.085 8.374 90.00 102.80 90.00
Space group C2/c (No. 15)
Asymmetric unit:
Na: 0.124 0.244 0.126 x8
Mg: 0.000 0.418 0.750 x4
Sn: 0.000 0.086 0.750 x4
Sn: 0.246 0.418 0.497 x8


Entry 20:
This record from Alexandria describes an optimized crystal structure of NaMgSn4. The functional is PBE.

- energy above the lowest structure with this stoichiometry (eV per atom) = 0.000
- energy of formation (eV per atom) = -0.04
- N(E_F) (states/eV per cell) = 5.5

Lattice parameters (Å, degrees): 7.068 5.596 9.030 90.00 109.85 90.00
Space group C2/m (No. 12)
Asymmetric unit:
Na: 0.000 0.000 0.000 x2
Mg: 0.000 0.000 0.500 x2
Sn: 0.124 0.500 0.189 x4
Sn: 0.182 0.500 0.656 x4